La2FePb: optimized geometry, PBEsol.

Output
ρ = 8.66 g cm⁻³
E_form = 54 kJ/mol of formula units

CIF file:
```
data_La2FePb
_chemical_formula_sum 'La2 Fe1 Pb1'
_space_group_name_H-M_alt 'P 4 m m'
_space_group_IT_number 99
_cell_length_a 3.443
_cell_length_b 3.443
_cell_length_c 8.748
_cell_angle_alpha 90.00
_cell_angle_beta 90.00
_cell_angle_gamma 90.00
loop_
_space_group_symop_operation_xyz
'x,y,z'
'-y,x,z'
'-x,-y,z'
'y,-x,z'
'-x,y,z'
'y,x,z'
'x,-y,z'
'-y,-x,z'
loop_
_atom_site_label
_atom_site_type_symbol
_atom_site_fract_x
_atom_site_fract_y
_atom_site_fract_z
La1 La 0.000 0.000 0.000
La2 La 0.500 0.500 0.354
Fe1 Fe 0.000 0.000 0.563
Pb1 Pb 0.500 0.500 0.727
```